No. 1
# Na4B5C3

A geometry-optimized Na4B5C3 structure (PBE, Alexandria).

a = 9.9448 Å, b = 9.9312 Å, c = 2.8043 Å
α = 90.00°, β = 90.00°, γ = 118.75°
Element x y z (fractional)
1 B 0.1856 0.4370 0.0000
2 C 0.0326 0.2835 0.0000
3 Na 0.7510 0.2478 0.0000
4 B 0.0367 0.7887 0.5000
5 C 0.9563 0.7086 0.0000
6 B 0.9513 0.2009 0.5000
7 Na 0.9990 0.5022 0.5000
8 C 0.5529 0.8013 0.0000
9 C 0.7937 0.0414 0.5000
10 Na 0.4988 0.9976 0.5000
11 Na 0.5008 0.5043 0.0000
12 Na 0.2492 0.2457 0.5000
13 B 0.7987 0.5491 0.0000
14 Na 0.2512 0.7524 0.0000
15 Na 0.7506 0.7521 0.5000
16 C 0.7174 0.4665 0.5000
17 B 0.2994 0.5512 0.5000
18 B 0.4717 0.7214 0.5000
19 B 0.5644 0.3130 0.5000
20 B 0.4506 0.1988 0.0000
21 Na 0.9994 0.9979 0.0000
22 C 0.1971 0.9487 0.5000
23 B 0.2783 0.0286 0.0000
24 B 0.7133 0.9613 0.0000

* ΔH_f (0 K): 0.064 eV/atom
* Fermi-level density of states: 1.633 states/eV/f.u.
* M_tot: 0.0 μB per formula unit
* ΔE to the lowest computed polymorph: 0.003 eV per atom
* symmetry: No. 11
* raw total energy: -5.46 eV per atom

***

No. 2
# Na5B9C

A geometry-optimized Na5B9C structure (PBE, Alexandria).

a = 9.1509 Å, b = 9.1509 Å, c = 13.6120 Å
α = 112.10°, β = 112.10°, γ = 18.50°
Element x y z (fractional)
1 B 0.8339 0.8339 0.4177
2 B 0.6341 0.6341 0.0174
3 Na 0.4002 0.4002 0.8006
4 B 0.2336 0.2336 0.2177
5 B 0.6255 0.6255 0.5008
6 B 0.2316 0.2316 0.7132
7 B 0.0333 0.0333 0.8180
8 Na 0.2003 0.2003 0.3983
9 B 0.0350 0.0350 0.3202
10 Na 0.4007 0.4007 0.2996
11 C 0.5658 0.5658 0.3816
12 B 0.5660 0.5660 0.8827
13 B 0.4298 0.4298 0.1094
14 B 0.7662 0.7662 0.2822
15 Na 0.8000 0.8000 0.1012
16 Na 0.8001 0.8001 0.6004
17 Na 0.0010 0.0010 0.0006
18 B 0.9665 0.9665 0.6826
19 Na 0.2000 0.2000 0.9002
20 B 0.8385 0.8385 0.9273
21 C 0.3682 0.3682 0.9867
22 B 0.1663 0.1663 0.5825
23 B 0.9677 0.9677 0.1853
24 B 0.3664 0.3664 0.4827
25 B 0.1663 0.1663 0.0824
26 B 0.4341 0.4341 0.6174
27 Na 0.9986 0.9986 0.4993
28 Na 0.6001 0.6001 0.7002
29 Na 0.5992 0.5992 0.2002
30 B 0.7708 0.7708 0.7916

* ΔH_f (0 K): 0.256 eV/atom
* Fermi-level density of states: 5.466 states/eV/f.u.
* M_tot: 0.0 μB per formula unit
* ΔE to the lowest computed polymorph: 0.020 eV per atom
* symmetry: No. 8
* raw total energy: -4.80 eV per atom

***

No. 3
# Na5B8C2

A geometry-optimized Na5B8C2 structure (PBE, Alexandria).

a = 7.7580 Å, b = 7.7597 Å, c = 9.1188 Å
α = 107.62°, β = 107.63°, γ = 38.29°
Element x y z (fractional)
1 B 0.0701 0.4283 0.7502
2 Na 0.2973 0.3034 0.5037
3 Na 0.6986 0.7030 0.5013
4 C 0.2152 0.8844 0.7493
5 B 0.9699 0.3347 0.2502
6 Na 0.8008 0.7988 0.9979
7 C 0.8151 0.4849 0.7493
8 C 0.7956 0.1045 0.2503
9 B 0.1119 0.7883 0.2501
10 B 0.9122 0.5967 0.2502
11 Na 0.5017 0.5001 0.5026
12 B 0.5404 0.1780 0.2499
13 C 0.0123 0.6880 0.7509
14 B 0.3943 0.7090 0.2495
15 Na 0.0001 0.9984 0.9976
16 B 0.4114 0.0867 0.7508
17 B 0.7038 0.9964 0.7510
18 Na 0.5979 0.6033 0.9985
19 B 0.2720 0.6296 0.7501
20 B 0.1906 0.5056 0.2502
21 Na 0.3991 0.3989 0.9950
22 B 0.4892 0.8010 0.7497
23 Na 0.1959 0.2018 0.9986
24 Na 0.9015 0.8997 0.5025
25 B 0.7224 0.3593 0.2500
26 B 0.5646 0.9312 0.2497
27 Na 0.1002 0.0996 0.5022
28 B 0.3036 0.9872 0.2494
29 B 0.6135 0.2886 0.7499
30 B 0.8987 0.2105 0.7493

* ΔH_f (0 K): 0.209 eV/atom
* Fermi-level density of states: 4.074 states/eV/f.u.
* M_tot: 0.0 μB per formula unit
* ΔE to the lowest computed polymorph: 0.039 eV per atom
* symmetry: No. 1
* raw total energy: -5.02 eV per atom

***

No. 4
# Na2B3C

A geometry-optimized Na2B3C structure (PBE, Alexandria).

a = 11.7325 Å, b = 11.7325 Å, c = 10.0886 Å
α = 106.59°, β = 106.59°, γ = 13.79°
Element x y z (fractional)
1 B 0.5819 0.5819 0.9172
2 B 0.4143 0.4143 0.0760
3 B 0.0084 0.0084 0.2660
4 B 0.3845 0.3845 0.5175
5 B 0.6841 0.6841 0.6202
6 B 0.9245 0.9245 0.5991
7 B 0.7778 0.7778 0.3028
8 Na 0.4018 0.4018 0.8016
9 B 0.0757 0.0757 0.4031
10 Na 0.0995 0.0995 0.7010
11 B 0.7144 0.7144 0.1771
12 Na 0.1994 0.1994 0.3987
13 C 0.8831 0.8831 0.0130
14 B 0.2284 0.2284 0.7074
15 C 0.1127 0.1127 0.9785
16 Na 0.9005 0.9005 0.2986
17 Na 0.7000 0.7000 0.9013
18 Na 0.8025 0.8025 0.6008
19 Na 0.3006 0.3006 0.0988
20 B 0.1725 0.1725 0.0959
21 C 0.5204 0.5204 0.7948
22 Na 0.4997 0.4997 0.5002
23 C 0.2884 0.2884 0.8260
24 Na 0.5972 0.5972 0.1988
25 B 0.6196 0.6196 0.4915
26 Na 0.9988 0.9988 0.0000
27 C 0.4773 0.4773 0.2022
28 B 0.9906 0.9906 0.7337
29 B 0.3208 0.3208 0.3887
30 B 0.8207 0.8207 0.8895

* ΔH_f (0 K): 0.145 eV/atom
* Fermi-level density of states: 1.212 states/eV/f.u.
* M_tot: 0.0 μB per formula unit
* ΔE to the lowest computed polymorph: 0.012 eV per atom
* symmetry: No. 8
* raw total energy: -5.17 eV per atom

***

No. 5
# NaBC

A geometry-optimized NaBC structure (PBE, Alexandria).

a = 4.4911 Å, b = 4.4904 Å, c = 5.6800 Å
α = 90.03°, β = 89.97°, γ = 60.00°
Element x y z (fractional)
1 C 0.0592 0.6897 0.4395
2 C 0.0592 0.6897 0.2066
3 B 0.0592 0.6897 0.9592
4 Na 0.7260 0.3564 0.8362
5 Na 0.3925 0.0231 0.3389
6 B 0.0593 0.6897 0.6869

* ΔH_f (0 K): 0.167 eV/atom
* Fermi-level density of states: 0.248 states/eV/f.u.
* M_tot: 0.0 μB per formula unit
* symmetry: No. 8
* raw total energy: -5.57 eV per atom

***

No. 6
# Na2B3C

A geometry-optimized Na2B3C structure (PBE, Alexandria).

a = 9.9798 Å, b = 9.1368 Å, c = 5.7879 Å
α = 80.54°, β = 64.57°, γ = 34.89°
Element x y z (fractional)
1 Na 0.4992 0.5008 0.0008
2 Na 0.9996 0.0027 0.9989
3 B 0.0493 0.6997 0.2680
4 C 0.7911 0.4583 0.5393
5 B 0.5335 0.2170 0.8048
6 Na 0.2490 0.2510 0.7510
7 B 0.4820 0.7670 0.7007
8 C 0.7917 0.4589 0.0387
9 C 0.2107 0.5387 0.9589
10 B 0.7082 0.0425 0.4671
11 Na 0.4988 0.4989 0.5027
12 B 0.5503 0.2007 0.2670
13 C 0.7113 0.0393 0.9583
14 Na 0.7492 0.7508 0.2508
15 B 0.9452 0.3053 0.2165
16 Na 0.7511 0.7512 0.7504
17 Na 0.9990 0.0010 0.5010
18 Na 0.2473 0.2504 0.2512
19 B 0.2829 0.9678 0.0418
20 B 0.2075 0.5418 0.4678
21 B 0.2822 0.9671 0.5425
22 B 0.9447 0.3048 0.7170
23 B 0.4830 0.7680 0.1997
24 B 0.0330 0.7165 0.8053

* ΔH_f (0 K): 0.158 eV/atom
* Fermi-level density of states: 1.011 states/eV/f.u.
* M_tot: 0.0 μB per formula unit
* ΔE to the lowest computed polymorph: 0.025 eV per atom
* symmetry: No. 43
* raw total energy: -5.16 eV per atom